1.
This record from OQMD describes a relaxed structure of ScCdCuAs. The functional is PBE.

V (Å³/f.u.): 73.2
Energy above the most stable polymorph in this dataset (meV per atom): 0

a = 6.6408 Å, b = 6.6408 Å, c = 6.6408 Å
α = 90.00°, β = 90.00°, γ = 90.00°
Closest atoms and distances in Å follow each position.
Space group F-43m (No. 216)
Unique sites:
Sc  0.0000  0.0000  0.0000 x4  4 As 2.88, 4 Cd 2.88
Cd  0.2500  0.2500  0.7500 x4  4 Sc 2.88, 4 Cu 2.88
Cu  0.0000  0.0000  0.5000 x4  4 Cd 2.88, 4 As 2.88
As  0.2500  0.2500  0.2500 x4  4 Cu 2.88, 4 Sc 2.88


2.
This record from OQMD describes a relaxed structure of Nb2MoAu. The functional is PBE.

V (Å³/f.u.): 69.6
Energy of formation (meV/atom): 197

a = 6.5309 Å, b = 6.5309 Å, c = 6.5309 Å
α = 90.00°, β = 90.00°, γ = 90.00°
Closest atoms and distances in Å follow each position.
Space group F-43m (No. 216)
Unique sites:
Nb  0.0000  0.0000  0.0000 x4  4 Nb 2.83, 4 Au 2.83
Nb  0.2500  0.2500  0.2500 x4  4 Nb 2.83, 4 Mo 2.83
Mo  0.0000  0.0000  0.5000 x4  4 Nb 2.83, 4 Au 2.83
Au  0.2500  0.2500  0.7500 x4  4 Nb 2.83, 4 Mo 2.83


3.
This record from OQMD describes a relaxed structure of LiAgOsSe2S. The functional is PBE.

V (Å³/f.u.): 113.9

a = 3.7257 Å, b = 12.5968 Å, c = 9.7096 Å
α = 90.00°, β = 90.00°, γ = 90.00°
Closest atoms and distances in Å follow each position.
Space group Cmcm (No. 63)
Unique sites:
Li  0.0000  0.2233  0.2500 x4  2 Se 2.69, 2 S 2.71
Ag  0.0000  0.0868  0.7500 x4  2 Se 2.48, 2 S 2.69
Os  0.0000  0.5000  0.0000 x4  4 Se 2.53, 2 S 2.57
Se  0.0000  0.1359  0.5023 x8  1 Ag 2.48, 2 Os 2.53, 1 Li 2.69
S  0.0000  0.4329  0.7500 x4  2 Os 2.57, 2 Ag 2.69, 2 Li 2.71


4.
This record from OQMD describes a relaxed structure of PmAsN2O. The functional is PBE.

V (Å³/f.u.): 56.4

a = 5.4752 Å, b = 3.7020 Å, c = 5.5678 Å
α = 90.00°, β = 90.00°, γ = 90.00°
Closest atoms and distances in Å follow each position.
Space group Pmma (No. 51)
Unique sites:
Pm  0.2500  0.0000  0.2282 x2  1 N 2.43, 4 O 2.63
As  0.2500  0.5000  0.7216 x2  4 N 1.84-1.89
N  0.0000  0.5000  0.5000 x2  2 As 1.84
N  0.2500  0.0000  0.7924 x2  2 As 1.89
O  0.0000  0.5000  0.0000 x2  2 As 2.07


5.
This record from OQMD describes a relaxed structure of TbCoSi. The functional is PBE.

V (Å³/f.u.): 55.7

a = 6.0621 Å, b = 6.0621 Å, c = 6.0621 Å
α = 90.00°, β = 90.00°, γ = 90.00°
Closest atoms and distances in Å follow each position.
Space group F-43m (No. 216)
Unique sites:
Tb  0.0000  0.0000  0.0000 x4  4 Co 2.62
Co  0.2500  0.2500  0.7500 x4  4 Tb 2.62, 4 Si 2.62
Si  0.0000  0.0000  0.5000 x4  4 Co 2.62


6.
This record from OQMD describes a relaxed structure of HgH8C2S2N4Cl4. The functional is PBE.

V (Å³/f.u.): 308.5

a = 8.6746 Å, b = 14.5585 Å, c = 11.4538 Å
α = 90.00°, β = 121.45°, γ = 90.00°
Closest atoms and distances in Å follow each position.
Space group P2_1/c (No. 14)
Unique sites:
Hg  0.2227  0.0131  0.3271 x4  2 Cl 2.41-2.43
H  0.0491  0.1334  0.4972 x4  1 N 1.03
H  0.1332  0.2309  0.6061 x4  1 N 1.03
H  0.2165  0.0820  0.8720 x4  1 N 1.03
H  0.2568  0.5956  0.1042 x4  1 N 1.03
H  0.2878  0.1419  0.0274 x4  1 N 1.03
H  0.3679  0.6150  0.6155 x4  1 N 1.03
H  0.4016  0.6644  0.0766 x4  1 N 1.03
H  0.4196  0.0608  0.7997 x4  1 N 1.03
C  0.1341  0.7024  0.9748 x4  2 N 1.32
C  0.4667  0.1394  0.9614 x4  2 N 1.32
S  0.1455  0.7003  0.3848 x4  1 C 1.78
S  0.3910  0.7163  0.4049 x4  1 C 1.78
N  0.0269  0.1879  0.5432 x4  2 H 1.03
N  0.2726  0.6479  0.0507 x4  2 H 1.03
N  0.3085  0.1247  0.9491 x4  2 H 1.03
N  0.4885  0.6018  0.6217 x4  2 H 1.03
Cl  0.1202  0.5243  0.2078 x4  2 H 2.23-2.31
Cl  0.1386  0.6083  0.6622 x4  1 H 2.32, 1 Hg 2.41
Cl  0.3051  0.1598  0.2237 x4  2 H 2.12-2.19
Cl  0.3744  0.0793  0.5551 x4  1 Hg 2.43, 2 H 2.63-2.66


What electronic total energy values result from the calculations? In sequence: -4.04, -8.38, -4.58, -6.91, -6.02, -4.87 eV/atom.